No. 1
# RbBe2AsN | Alexandria via LeMat-Bulk | GGA-PBE | relaxed
data_RbBe2AsN
_space_group_name_H-M_alt 'P 1'
_space_group_IT_number 1
_cell_length_a 4.148
_cell_length_b 7.158
_cell_length_c 4.148
_cell_angle_alpha 90.00
_cell_angle_beta 90.00
_cell_angle_gamma 90.00
loop_
_space_group_symop_operation_xyz
'x,y,z'
loop_
_atom_site_label
_atom_site_fract_x
_atom_site_fract_y
_atom_site_fract_z
Be1 0.000 0.000 0.500
Be2 0.500 0.000 0.000
As1 0.000 0.000 0.000
Rb1 0.000 0.500 0.000
N1 0.500 0.500 0.500
# - Spin magnetization: 0.347 μB/atom
# - Space group: P4/mmm (123)
# - ΔE_f (raw): 1.16 eV per atom



No. 2
# BeAsS2N | Alexandria via LeMat-Bulk | GGA-PBE | relaxed
data_BeAsS2N
_space_group_name_H-M_alt 'P 1'
_space_group_IT_number 1
_cell_length_a 4.631
_cell_length_b 4.631
_cell_length_c 3.225
_cell_angle_alpha 90.00
_cell_angle_beta 90.00
_cell_angle_gamma 90.00
loop_
_space_group_symop_operation_xyz
'x,y,z'
loop_
_atom_site_label
_atom_site_fract_x
_atom_site_fract_y
_atom_site_fract_z
Be1 0.000 0.000 0.000
As1 0.500 0.500 0.500
S1 0.000 0.500 0.000
S2 0.500 0.000 0.000
N1 0.000 0.000 0.500
# - Polymorph energy (0 for the lowest one): 0.000 eV per atom
# - Spin magnetization: 0.174 μB/atom
# - Space group: P4/mmm (123)
# - ΔE_f (raw): 0.62 eV per atom



No. 3
# BeAsS2N | Alexandria via LeMat-Bulk | GGA-PBE | relaxed
data_BeAsS2N
_space_group_name_H-M_alt 'P 1'
_space_group_IT_number 1
_cell_length_a 4.809
_cell_length_b 4.809
_cell_length_c 3.538
_cell_angle_alpha 90.00
_cell_angle_beta 90.00
_cell_angle_gamma 90.00
loop_
_space_group_symop_operation_xyz
'x,y,z'
loop_
_atom_site_label
_atom_site_fract_x
_atom_site_fract_y
_atom_site_fract_z
Be1 0.500 0.500 0.500
As1 0.000 0.000 0.000
S1 0.000 0.500 0.000
S2 0.500 0.000 0.000
N1 0.000 0.000 0.500
# - Polymorph energy (0 for the lowest one): 0.498 eV per atom
# - Spin magnetization: 0.000 μB/atom
# - Space group: P4/mmm (123)
# - ΔE_f (raw): 1.12 eV per atom



No. 4
# ScBeAsN | Alexandria via LeMat-Bulk | GGA-PBE | relaxed
data_ScBeAsN
_space_group_name_H-M_alt 'P 1'
_space_group_IT_number 1
_cell_length_a 3.376
_cell_length_b 3.376
_cell_length_c 5.980
_cell_angle_alpha 90.00
_cell_angle_beta 90.00
_cell_angle_gamma 120.00
loop_
_space_group_symop_operation_xyz
'x,y,z'
loop_
_atom_site_label
_atom_site_fract_x
_atom_site_fract_y
_atom_site_fract_z
Sc1 0.000 0.000 0.655
Be1 0.333 0.667 0.049
As1 0.667 0.333 0.274
N1 0.333 0.667 0.784
# - Polymorph energy (0 for the lowest one): 0.022 eV per atom
# - Spin magnetization: 0.000 μB/atom
# - Space group: P3m1 (156)
# - ΔE_f (raw): -0.91 eV per atom



No. 5
# ScBeAsN | Alexandria via LeMat-Bulk | GGA-PBE | relaxed
data_ScBeAsN
_space_group_name_H-M_alt 'P 1'
_space_group_IT_number 1
_cell_length_a 3.381
_cell_length_b 3.380
_cell_length_c 6.163
_cell_angle_alpha 74.62
_cell_angle_beta 74.62
_cell_angle_gamma 61.66
loop_
_space_group_symop_operation_xyz
'x,y,z'
loop_
_atom_site_label
_atom_site_fract_x
_atom_site_fract_y
_atom_site_fract_z
Sc1 0.386 0.983 0.340
Be1 0.175 0.773 0.950
As1 0.590 0.188 0.728
N1 0.088 0.685 0.219
# - Polymorph energy (0 for the lowest one): 0.000 eV per atom
# - Spin magnetization: 0.000 μB/atom
# - Space group: Cm (8)
# - ΔE_f (raw): -0.94 eV per atom



No. 6
# ScBe2AsN | Alexandria via LeMat-Bulk | GGA-PBE | relaxed
data_ScBe2AsN
_space_group_name_H-M_alt 'P 1'
_space_group_IT_number 1
_cell_length_a 3.839
_cell_length_b 5.516
_cell_length_c 3.839
_cell_angle_alpha 90.00
_cell_angle_beta 90.00
_cell_angle_gamma 90.00
loop_
_space_group_symop_operation_xyz
'x,y,z'
loop_
_atom_site_label
_atom_site_fract_x
_atom_site_fract_y
_atom_site_fract_z
Sc1 0.000 0.500 0.000
Be1 0.000 0.000 0.500
Be2 0.500 0.000 0.000
As1 0.000 0.000 0.000
N1 0.500 0.500 0.500
# - Spin magnetization: 0.000 μB/atom
# - Space group: P4/mmm (123)
# - ΔE_f (raw): 0.76 eV per atom



Repeat the first record exactly.
# RbBe2AsN | Alexandria via LeMat-Bulk | GGA-PBE | relaxed
data_RbBe2AsN
_space_group_name_H-M_alt 'P 1'
_space_group_IT_number 1
_cell_length_a 4.148
_cell_length_b 7.158
_cell_length_c 4.148
_cell_angle_alpha 90.00
_cell_angle_beta 90.00
_cell_angle_gamma 90.00
loop_
_space_group_symop_operation_xyz
'x,y,z'
loop_
_atom_site_label
_atom_site_fract_x
_atom_site_fract_y
_atom_site_fract_z
Be1 0.000 0.000 0.500
Be2 0.500 0.000 0.000
As1 0.000 0.000 0.000
Rb1 0.000 0.500 0.000
N1 0.500 0.500 0.500
# - Spin magnetization: 0.347 μB/atom
# - Space group: P4/mmm (123)
# - ΔE_f (raw): 1.16 eV per atom



ΔE_f (raw) of number 3 (BeAsS2N)?
1.12 eV per atom



Copy entry 4 word for word.
# ScBeAsN | Alexandria via LeMat-Bulk | GGA-PBE | relaxed
data_ScBeAsN
_space_group_name_H-M_alt 'P 1'
_space_group_IT_number 1
_cell_length_a 3.376
_cell_length_b 3.376
_cell_length_c 5.980
_cell_angle_alpha 90.00
_cell_angle_beta 90.00
_cell_angle_gamma 120.00
loop_
_space_group_symop_operation_xyz
'x,y,z'
loop_
_atom_site_label
_atom_site_fract_x
_atom_site_fract_y
_atom_site_fract_z
Sc1 0.000 0.000 0.655
Be1 0.333 0.667 0.049
As1 0.667 0.333 0.274
N1 0.333 0.667 0.784
# - Polymorph energy (0 for the lowest one): 0.022 eV per atom
# - Spin magnetization: 0.000 μB/atom
# - Space group: P3m1 (156)
# - ΔE_f (raw): -0.91 eV per atom